First-principles (PBE) data for a geometry-optimized CePaPd2 structure, as listed in Alexandria.

Results
Its relative energy among the computed polymorphs is 0.0314 eV per atom. The formation energy from the elements comes out at -441 meV/atom.

The structure in extended XYZ format:
```
4
Lattice="-1.6659 -4.3680 -1.7596 2.2167 -4.2579 1.3810 -2.3691 -3.1772 3.0403" Properties=species:S:1:pos:R:3 pbc="T T T"
Pa -0.9091 -5.9016 1.3309
Pd -0.4546 -2.9508 0.6654
Pd -1.3637 -8.8523 1.9963
Ce 0.0000 0.0000 0.0000
```



First-principles (PBE) data for a geometry-optimized YCoSe2 structure, as listed in Alexandria.

The structure in extended XYZ format:
```
4
Lattice="3.5367 0.0000 0.0000 0.0000 3.6817 -0.2400 0.0000 0.4031 6.3823" Properties=species:S:1:pos:R:3 pbc="T T T"
Co 1.7683 3.0636 4.6067
Se 0.0000 3.1633 6.1927
Se 0.0000 2.9640 3.0207
Y 1.7683 1.0212 1.5356
```



First-principles (PBE) data for a geometry-optimized GdAlCu4 structure, as listed in Alexandria.

Results
The formation energy from the elements comes out at -256 meV/atom.

The structure in extended XYZ format:
```
6
Lattice="-2.3404 -0.8735 -4.5714 2.0529 -3.9703 2.6759 -3.5063 -0.5343 1.8972" Properties=species:S:1:pos:R:3 pbc="T T T"
Gd 0.0000 0.0000 0.0000
Al -0.8760 -1.9058 -2.1556
Cu 0.5885 -2.9380 0.2601
Cu -1.8930 -2.6918 0.0074
Cu -0.8721 -4.6663 1.3381
Cu -0.7291 -2.2574 2.2807
```



First-principles (PBE) data for a geometry-optimized Na6SnAu structure, as listed in Alexandria.

Results
Its relative energy among the computed polymorphs is 0.0000 eV per atom. The formation energy from the elements comes out at -162 meV/atom.

The structure in extended XYZ format:
```
8
Lattice="-1.1532 3.7519 7.5228 -4.4323 -3.9228 6.0853 1.0566 -1.5202 5.6958" Properties=species:S:1:pos:R:3 pbc="T T T"
Na -2.5722 0.6495 14.8414
Na -0.0744 1.6641 9.9155
Na -1.4289 0.5098 6.7073
Na -4.4546 -3.3553 9.3885
Na -1.9568 -2.3407 4.4625
Na -3.1001 -2.2010 12.5966
Sn 0.0000 0.0000 0.0000
Au -2.2645 -0.8456 9.6520
```



First-principles (PBE) data for a geometry-optimized ScCuBr2 structure, as listed in Alexandria.

Results
Its relative energy among the computed polymorphs is 0.4525 eV per atom.

The structure in extended XYZ format:
```
4
Lattice="4.3189 0.0000 0.0000 0.0000 3.6022 -0.0228 0.0000 -0.1228 6.0061" Properties=species:S:1:pos:R:3 pbc="T T T"
Br 0.0000 -0.1105 5.9861
Br 0.0000 1.7273 3.0117
Cu 2.1594 0.8698 1.4958
Sc 2.1594 2.6095 4.4875
```



First-principles (PBE) data for a geometry-optimized Sr8AgN4 structure, as listed in Alexandria.

The structure in extended XYZ format:
```
13
Lattice="8.1070 0.0000 0.0000 4.0535 7.0209 0.0000 4.0535 2.3403 6.6194" Properties=species:S:1:pos:R:3 pbc="T T T"
Sr 5.8213 1.3197 0.9331
Sr 4.0535 4.3816 0.9331
Sr 4.0535 2.3403 3.8199
Sr 2.2857 1.3197 0.9331
Sr 6.4242 5.6522 3.9967
Sr 8.1070 2.7374 3.9967
Sr 8.1070 4.6806 1.2487
Sr 9.7898 5.6522 3.9967
Ag 12.1605 7.0209 4.9645
N 10.1502 3.5010 2.4756
N 8.1070 7.0398 2.4756
N 8.1070 4.6806 5.8120
N 6.0639 3.5010 2.4756
```



What did we get for E_tot? Answer: -27.58, -23.63, -35.74, -16.49, -14.94, -54.84 eV/cell, in the order shown.